i.
# Mg6SiC

Crystalline Mg6SiC at its relaxed geometry (PBE, Alexandria).

The structure in extended XYZ format:
```
8
Lattice="1.063 6.717 -2.395 -5.872 -3.921 1.457 0.047 1.463 4.124" Properties=species:S:1:pos:R:3 pbc="T T T"
Mg -3.114 3.524 1.107
Mg -1.868 -0.159 0.078
Mg -0.174 5.515 0.368
Mg -0.733 2.140 1.571
Mg -1.150 3.323 -1.166
Mg -4.119 1.149 -0.361
Si -5.128 -2.780 1.044
C -2.858 1.399 1.858
```

Values from the calculation:
SG ... Amm2 (38)
Volume ... 20.48 Å³/atom

=====

ii.
# Mg6SiC

Crystalline Mg6SiC at its relaxed geometry (PBE, Alexandria).

The structure in extended XYZ format:
```
8
Lattice="4.105 -4.740 0.000 4.105 4.740 0.000 0.000 0.000 3.769" Properties=species:S:1:pos:R:3 pbc="T T T"
Mg 1.985 -1.374 1.884
Mg 5.539 1.099 0.000
C 4.105 2.208 1.884
Mg 4.105 3.774 0.000
Mg 2.671 1.099 0.000
Mg 6.225 -1.374 1.884
Si 4.105 -3.666 1.884
Mg 4.105 -1.766 0.000
```

Values from the calculation:
SG ... Amm2 (38)
Volume ... 18.33 Å³/atom

=====

Relative stability in kJ/mol of atoms, measured from the most stable structure: i 10.4; ii 0.0

=====

i.
# MgSiC

Crystalline MgSiC at its relaxed geometry (PBE, Alexandria).

The structure in extended XYZ format:
```
6
Lattice="3.072 0.000 0.000 -1.536 2.661 0.000 0.000 0.000 9.251" Properties=species:S:1:pos:R:3 pbc="T T T"
C 1.536 0.887 4.922
Mg 1.536 0.887 7.963
Si 0.000 0.000 5.656
C 0.000 1.774 0.296
Si 0.000 0.000 1.031
Mg 0.000 1.774 3.337
```

Values from the calculation:
SG ... P6_3mc (186)
Volume ... 12.60 Å³/atom

=====

ii.
# MgSiC

Crystalline MgSiC at its relaxed geometry (PBE, Alexandria).

The structure in extended XYZ format:
```
12
Lattice="3.099 0.000 0.000 0.000 11.116 0.000 0.000 0.000 4.435" Properties=species:S:1:pos:R:3 pbc="T T T"
Si 0.000 10.473 3.326
Mg 0.000 7.667 3.326
Si 0.000 0.643 1.109
C 1.550 1.704 1.109
Si 1.550 4.915 3.326
Si 1.550 6.200 1.109
C 0.000 3.854 3.326
Mg 0.000 3.449 1.109
C 1.550 9.412 3.326
Mg 1.550 2.109 3.326
Mg 1.550 9.007 1.109
C 0.000 7.262 1.109
```

Values from the calculation:
SG ... Cmcm (63)
Volume ... 12.73 Å³/atom

=====

Relative stability in kJ/mol of atoms, measured from the most stable structure: i 0.0; ii 2.6

=====

i.
# MgSiC

Crystalline MgSiC at its relaxed geometry (PBE, Alexandria).

The structure in extended XYZ format:
```
12
Lattice="9.453 0.000 0.053 0.000 3.070 0.000 -0.996 0.000 5.231" Properties=species:S:1:pos:R:3 pbc="T T T"
Si 6.834 1.535 1.337
Si 6.336 0.000 3.952
C 5.957 0.000 2.073
Mg 0.000 1.535 0.000
C 2.500 0.000 3.211
C 2.998 1.535 0.596
Mg -0.498 0.000 2.615
Si 2.121 0.000 1.332
Si 1.623 1.535 3.947
Mg 4.229 1.535 2.642
C 5.459 1.535 4.688
Mg 4.727 0.000 0.027
```

Values from the calculation:
SG ... C2/m (12)
Volume ... 12.66 Å³/atom

=====

ii.
# MgSiC

Crystalline MgSiC at its relaxed geometry (PBE, Alexandria).

The structure in extended XYZ format:
```
6
Lattice="-1.904 1.092 -2.240 2.811 -1.163 -0.761 -3.994 -9.004 -0.993" Properties=species:S:1:pos:R:3 pbc="T T T"
Si -3.897 -7.696 -2.633
C -3.744 -8.439 -0.931
Mg -2.661 -5.998 -0.662
C -1.747 -3.937 -0.434
Si -0.329 -3.946 -1.644
Mg -0.663 -1.496 -0.165
```

Values from the calculation:
SG ... P6_3mc (186)
Volume ... 14.05 Å³/atom

=====

iii.
# MgSiC

Crystalline MgSiC at its relaxed geometry (PBE, Alexandria).

The structure in extended XYZ format:
```
6
Lattice="3.064 0.000 0.000 -1.532 2.653 0.000 0.000 0.000 9.432" Properties=species:S:1:pos:R:3 pbc="T T T"
Si 1.532 0.884 7.039
Si 0.000 1.769 2.393
Mg 0.000 0.000 0.000
C 0.000 1.769 6.311
Mg 0.000 0.000 4.716
C 1.532 0.884 3.121
```

Values from the calculation:
SG ... P-3m1 (164)
Volume ... 12.78 Å³/atom

=====

Relative stability in kJ/mol of atoms, measured from the most stable structure: i 0.0; ii 4.0; iii 0.7

=====

i.
# MgSnC3

Crystalline MgSnC3 at its relaxed geometry (PBE, Alexandria).

The structure in extended XYZ format:
```
5
Lattice="4.304 0.000 0.000 0.000 4.304 0.000 0.000 0.000 4.304" Properties=species:S:1:pos:R:3 pbc="T T T"
C 0.000 0.000 2.152
Mg 2.152 2.152 2.152
C 0.000 2.152 0.000
C 2.152 0.000 0.000
Sn 0.000 0.000 0.000
```

Values from the calculation:
SG ... Pm-3m (221)
Volume ... 15.94 Å³/atom

=====

ii.
# MgSnC3

Crystalline MgSnC3 at its relaxed geometry (PBE, Alexandria).

The structure in extended XYZ format:
```
5
Lattice="4.159 0.000 0.000 0.000 4.159 0.000 0.000 0.000 4.159" Properties=species:S:1:pos:R:3 pbc="T T T"
C 0.000 2.079 0.000
C 2.079 0.000 0.000
C 0.000 0.000 2.079
Mg 0.000 0.000 0.000
Sn 2.079 2.079 2.079
```

Values from the calculation:
SG ... Pm-3m (221)
Volume ... 14.38 Å³/atom

=====

Relative stability in kJ/mol of atoms, measured from the most stable structure: i 0.0; ii 5.6

=====

i.
# MgSnC2

Crystalline MgSnC2 at its relaxed geometry (PBE, Alexandria).

The structure in extended XYZ format:
```
4
Lattice="-0.598 -4.064 -0.751 1.212 -2.843 2.809 -2.855 -2.129 2.181" Properties=species:S:1:pos:R:3 pbc="T T T"
Mg 0.000 0.000 0.000
C -0.560 -2.259 1.060
Sn -1.120 -4.518 2.120
C -1.680 -6.777 3.180
```

Values from the calculation:
SG ... Fm-3m (225)
Volume ... 12.87 Å³/atom

=====

ii.
# MgSnC2

Crystalline MgSnC2 at its relaxed geometry (PBE, Alexandria).

The structure in extended XYZ format:
```
8
Lattice="5.229 0.000 0.000 0.000 5.229 0.000 2.615 2.615 4.829" Properties=species:S:1:pos:R:3 pbc="T T T"
C 1.253 3.922 1.207
Sn 0.000 0.000 0.000
Sn 5.229 2.615 2.414
C 6.536 6.591 3.621
C 3.976 1.307 1.207
Mg 2.615 2.615 0.000
Mg 2.615 5.229 2.414
C 3.922 3.867 3.621
```

Values from the calculation:
SG ... I-42d (122)
Volume ... 16.50 Å³/atom

=====

Relative stability in kJ/mol of atoms, measured from the most stable structure: i 43.2; ii 0.0

=====

i.
# Mg2SnC

Crystalline Mg2SnC at its relaxed geometry (PBE, Alexandria).

The structure in extended XYZ format:
```
8
Lattice="-4.314 4.438 -4.093 2.574 -3.198 -6.181 -2.893 -1.237 -5.018" Properties=species:S:1:pos:R:3 pbc="T T T"
C -0.870 0.620 -5.137
Mg -2.583 1.535 -4.097
Sn -4.038 1.910 -7.124
Mg -2.515 -0.845 -8.354
Sn 0.000 0.000 0.000
C -0.594 -1.908 -8.168
Mg -0.168 -1.224 -6.118
Mg -3.999 0.538 -12.016
```

Values from the calculation:
SG ... I-42d (122)
Volume ... 18.92 Å³/atom

=====

ii.
# Mg2SnC

Crystalline Mg2SnC at its relaxed geometry (PBE, Alexandria).

The structure in extended XYZ format:
```
4
Lattice="3.432 2.831 1.465 -0.597 2.609 3.843 2.365 -1.018 3.912" Properties=species:S:1:pos:R:3 pbc="T T T"
Sn 2.600 2.211 4.610
C 0.000 0.000 0.000
Mg 3.900 3.317 6.916
Mg 1.300 1.106 2.305
```

Values from the calculation:
SG ... Fm-3m (225)
Volume ... 18.16 Å³/atom

=====

Relative stability in kJ/mol of atoms, measured from the most stable structure: i 0.0; ii 39.7